(1)
## CuP3Cl (PBE)

Data for a geometry-optimized CuP3Cl structure.

Cell lengths 4.5562, 4.5562, 4.5562 Å; angles 90.00, 90.00, 90.00 degrees
Space group Pm-3m (No. 221)
Unique sites:
Cu: 0.0000 0.0000 0.0000 x1
P: 0.0000 0.0000 0.5000 x3
Cl: 0.5000 0.5000 0.5000 x1

Output
Energy in eV per atom: -3.44
Size of the total moment in μB per atom: 0.000
Calculated volume in Å³ per atom: 18.92
E_form (uncorrected) in eV/atom: 0.99



(2)
## NdYGeCl (PBE)

Data for a geometry-optimized NdYGeCl structure.

Cell lengths 5.8190, 4.9002, 8.5740 Å; angles 90.00, 90.00, 90.00 degrees
Space group Amm2 (No. 38)
Unique sites:
Nd: 0.0000 0.0000 0.0000 x2
Y: 0.5000 0.0000 0.6688 x2
Ge: 0.5000 0.0000 0.0005 x2
Cl: 0.0000 0.0000 0.6686 x2

Output
Energy in eV per atom: -5.39
Size of the total moment in μB per atom: 0.000
Calculated volume in Å³ per atom: 30.56
E_form (uncorrected) in eV/atom: -0.96



(3)
## Rb2SmTlS4 (PBE)

Data for a geometry-optimized Rb2SmTlS4 structure.

Cell lengths 11.8794, 12.4663, 8.5526 Å; angles 90.00, 133.50, 90.00 degrees
Space group C2/c (No. 15)
Unique sites:
Rb: 0.0000 0.0000 0.0000 x4
Rb: 0.2500 0.2500 0.0000 x4
Sm: 0.0000 0.5000 0.0000 x4
Tl: 0.2500 0.2500 0.5000 x4
S: 0.0209 0.2656 0.4819 x8
S: 0.2135 0.4905 0.4576 x8

Output
Energy in eV per atom: -4.30
Size of the total moment in μB per atom: 0.000
Calculated volume in Å³ per atom: 28.71
E_form (uncorrected) in eV/atom: -1.11



(4)
## Rb4PrTm3Se8 (PBE)

Data for a geometry-optimized Rb4PrTm3Se8 structure.

Cell lengths 8.4975, 8.4975, 23.9968 Å; angles 90.00, 90.00, 120.00 degrees
Space group R-3m (No. 166, hexagonal axes)
Unique sites:
Rb: 0.0000 0.0000 0.0000 x3
Rb: 0.0000 0.5000 0.0000 x9
Pr: 0.0000 0.0000 0.5000 x3
Tm: 0.0000 0.5000 0.5000 x9
Se: 0.0000 0.0000 0.2307 x6
Se: 0.0114 0.5057 0.7679 x18

Output
Energy in eV per atom: -4.84
Size of the total moment in μB per atom: 0.000
Calculated volume in Å³ per atom: 31.26
E_form (uncorrected) in eV/atom: -1.72